The following is a DFT calculation (PBE-GGA) of a geometry-optimized La4DyEr3Te8 structure.

Summary:
Calculated total energy in Ry/atom: -0.3942
Crystal system: trigonal
Uncorrected formation energy in meV per atom: -1418

```
La4DyEr3Te8
1.0
8.807 0.000 0.000
0.000 9.013 0.140
-4.404 -4.399 6.230
Te Er La Dy
8 3 4 1
Cartesian
6.595 2.368 0.123
2.212 2.368 0.123
0.000 4.435 3.146
-2.192 2.246 6.247
4.404 0.179 3.224
4.404 4.436 3.132
2.192 2.246 6.247
0.000 0.178 3.238
-2.202 2.307 3.185
4.404 4.506 0.070
2.202 2.307 3.185
2.202 -2.199 3.115
-2.202 -2.199 3.115
4.404 0.000 0.000
0.000 0.000 0.000
0.000 4.506 0.070
```